Entry from OQMD: a relaxed structure of TlReNiPt (GGA-PBE).

Volume: 16.17 Å³ per atom
VASP energy: -5.99 eV/atom

Cell: 4.506 4.506 4.506 Å, 60.00 60.00 60.00°
Element x y z (fractional)
1 Tl 0.000 0.000 0.000
2 Re 0.500 0.500 0.500
3 Ni 0.250 0.250 0.250
4 Pt 0.750 0.750 0.750

***

Entry from OQMD: a relaxed structure of NiPt4S (GGA-PBE).

Volume: 16.12 Å³ per atom
VASP energy: -5.41 eV/atom

Cell: 6.953 6.953 6.953 Å, 34.60 34.60 34.60°
Element x y z (fractional)
1 Ni 0.000 0.000 0.000
2 Pt 0.128 0.128 0.128
3 Pt 0.375 0.375 0.375
4 Pt 0.625 0.625 0.625
5 Pt 0.872 0.872 0.872
6 S 0.500 0.500 0.500

***

Entry from OQMD: a relaxed structure of NiPt2S5 (GGA-PBE).

Volume: 20.09 Å³ per atom
VASP energy: -5.00 eV/atom

Cell: 6.181 6.181 15.291 Å, 90.00 90.00 146.62°
Element x y z (fractional)
1 Ni 0.200 0.800 0.750
2 Ni 0.800 0.200 0.250
3 Pt 0.281 0.719 0.099
4 Pt 0.281 0.719 0.401
5 Pt 0.719 0.281 0.599
6 Pt 0.719 0.281 0.901
7 S 0.092 0.908 0.636
8 S 0.092 0.908 0.864
9 S 0.187 0.813 0.250
10 S 0.343 0.657 0.552
11 S 0.343 0.657 0.948
12 S 0.657 0.343 0.052
13 S 0.657 0.343 0.448
14 S 0.813 0.187 0.750
15 S 0.908 0.092 0.136
16 S 0.908 0.092 0.364

***

Entry from OQMD: a relaxed structure of Ni2SbPt (GGA-PBE).

Volume: 16.50 Å³ per atom
VASP energy: -4.96 eV/atom

Cell: 2.894 2.894 17.994 Å, 90.00 90.00 118.86°
Element x y z (fractional)
1 Ni 0.160 0.840 0.610
2 Ni 0.160 0.840 0.890
3 Ni 0.840 0.160 0.110
4 Ni 0.840 0.160 0.390
5 Sb 0.172 0.828 0.750
6 Sb 0.828 0.172 0.250
7 Pt 0.500 0.500 0.000
8 Pt 0.500 0.500 0.500

***

Entry from OQMD: a relaxed structure of ScNiSbPt (GGA-PBE).

Polymorph energy (0 for the lowest one): 0.155 eV/atom
Volume: 17.28 Å³ per atom

Cell: 4.606 4.606 4.606 Å, 60.00 60.00 60.00°
Element x y z (fractional)
1 Sc 0.000 0.000 0.000
2 Ni 0.500 0.500 0.500
3 Sb 0.250 0.250 0.250
4 Pt 0.750 0.750 0.750

***

Entry from OQMD: a relaxed structure of ScNiSbPt (GGA-PBE).

Polymorph energy (0 for the lowest one): 0.000 eV/atom
Volume: 17.11 Å³ per atom

Cell: 4.592 4.592 4.592 Å, 60.00 60.00 60.00°
Element x y z (fractional)
1 Sc 0.000 0.000 0.000
2 Ni 0.750 0.750 0.750
3 Sb 0.500 0.500 0.500
4 Pt 0.250 0.250 0.250